#1
Entry from OQMD via LeMat-Bulk: a relaxed AcErIr crystal (PBE).

```
3
Lattice="1.608 1.539 4.328 2.959 3.855 0.267 -1.630 4.196 1.850" Properties=species:S:1:pos:R:3 pbc="T T T"
Ac 0.734 2.397 1.611
Er 0.000 0.000 0.000
Ir 2.203 7.192 4.834
```

=====

#2
Entry from OQMD via LeMat-Bulk: a relaxed AcErIr crystal (PBE).

```
3
Lattice="0.102 -4.623 1.694 -3.806 -3.013 -0.834 0.481 -3.763 -3.140" Properties=species:S:1:pos:R:3 pbc="T T T"
Ac 0.000 0.000 0.000
Er -0.806 -2.850 -0.570
Ir -2.417 -8.550 -1.710
```

=====

Need the numbers? Relative energies in meV per atom: #1 0; #2 283.

=====

#1
Entry from OQMD via LeMat-Bulk: a relaxed AcErMg crystal (PBE).

```
3
Lattice="-5.452 -0.003 -0.010 -2.735 2.677 3.884 -2.726 4.558 -1.234" Properties=species:S:1:pos:R:3 pbc="T T T"
Ac -2.728 1.808 0.660
Er -8.185 5.424 1.980
Mg 0.000 0.000 0.000
```

=====

#2
Entry from OQMD via LeMat-Bulk: a relaxed AcErMg crystal (PBE).

```
3
Lattice="-2.901 -4.344 -1.823 -5.369 -0.463 1.253 -3.829 0.685 -3.936" Properties=species:S:1:pos:R:3 pbc="T T T"
Ac 0.000 0.000 0.000
Er -3.025 -1.031 -1.126
Mg -9.074 -3.092 -3.379
```

=====

Need the numbers? Relative energies in meV per atom: #1 0; #2 379.